(1)
Crystalline Al2Ag3 at its relaxed geometry, computed with GGA-PBEsol.

Computed properties:
* energy relative to the lowest polymorph listed for this composition: 0.058 eV/atom
* size of the total moment: 0.00 μB per formula unit
* energy of formation: -27 meV per atom

a = 4.3399 Å, b = 4.3399 Å, c = 5.3509 Å
α = 90.00°, β = 90.00°, γ = 120.00°
Closest atoms and distances in Å follow each position.
Space group P-3m1 (No. 164)
Unique sites:
Al (0.3333, 0.6667, 0.3418) (multiplicity 2)  8 Ag 2.62-2.73
Ag (0.0000, 0.0000, 0.5000) (multiplicity 1)  6 Al 2.64
Ag (0.3333, 0.6667, 0.8528) (multiplicity 2)  5 Al 2.62-2.73

(2)
Crystalline Al3Ag5 at its relaxed geometry, computed with GGA-PBEsol.

Computed properties:
* energy relative to the lowest polymorph listed for this composition: 0.005 eV/atom
* size of the total moment: 0.00 μB per formula unit
* energy of formation: -88 meV per atom

a = 5.6387 Å, b = 8.1213 Å, c = 5.5865 Å
α = 90.00°, β = 90.00°, γ = 90.00°
Closest atoms and distances in Å follow each position.
Space group C222 (No. 21)
Unique sites:
Al (0.0000, 0.0000, 0.0000) (multiplicity 2)  8 Ag 2.79-2.82, 4 Al 2.88
Al (0.2500, 0.2500, 0.7339) (multiplicity 4)  10 Ag 2.78-2.88, 2 Al 2.88
Ag (0.0000, 0.0000, 0.5000) (multiplicity 2)  6 Al 2.79-2.80, 6 Ag 2.82-2.88
Ag (0.0000, 0.5000, 0.0000) (multiplicity 2)  6 Ag 2.79-2.80, 6 Al 2.82-2.88
Ag (0.0000, 0.5000, 0.5000) (multiplicity 2)  8 Ag 2.79-2.88, 4 Al 2.80
Ag (0.2500, 0.2500, 0.2355) (multiplicity 4)  6 Al 2.78-2.82, 6 Ag 2.80-2.88